No. 1
DFT (GGA-PBEsol) results for a relaxed structure of AgSbRhI2.

E_form (uncorrected): 0.402 eV/atom

CIF file:
```
data_AgSbRhI2
_chemical_formula_sum 'Ag1 Sb1 Rh1 I2'
_cell_length_a 5.457
_cell_length_b 5.457
_cell_length_c 4.902
_cell_angle_alpha 90.00
_cell_angle_beta 90.00
_cell_angle_gamma 90.00
_symmetry_space_group_name_H-M 'P 4/m m m'
_symmetry_Int_Tables_number 123
_symmetry_space_group_name_Hall '-P 4 2'
loop_
_atom_site_label
_atom_site_type_symbol
_atom_site_fract_x
_atom_site_fract_y
_atom_site_fract_z
Ag1 Ag 0.000 0.000 0.000
Sb1 Sb 0.500 0.500 0.000
Rh1 Rh 0.500 0.500 0.500
I1 I 0.000 0.500 0.500
```

No. 2
DFT (GGA-PBEsol) results for a relaxed structure of BaYMn3.

CIF file:
```
data_BaYMn3
_chemical_formula_sum 'Ba1 Y1 Mn3'
_cell_length_a 5.196
_cell_length_b 5.196
_cell_length_c 5.196
_cell_angle_alpha 90.00
_cell_angle_beta 90.00
_cell_angle_gamma 90.00
_symmetry_space_group_name_H-M 'P m -3 m'
_symmetry_Int_Tables_number 221
_symmetry_space_group_name_Hall '-P 4 2 3'
loop_
_atom_site_label
_atom_site_type_symbol
_atom_site_fract_x
_atom_site_fract_y
_atom_site_fract_z
Ba1 Ba 0.000 0.000 0.000
Y1 Y 0.500 0.500 0.500
Mn1 Mn 0.000 0.500 0.500
```

No. 3
DFT (GGA-PBEsol) results for a relaxed structure of DyAl10Re2.

CIF file:
```
data_DyAl10Re2
_chemical_formula_sum 'Dy8 Al80 Re16'
_cell_length_a 9.206
_cell_length_b 10.279
_cell_length_c 17.939
_cell_angle_alpha 90.00
_cell_angle_beta 90.00
_cell_angle_gamma 90.00
_symmetry_space_group_name_H-M 'C m c m'
_symmetry_Int_Tables_number 63
_symmetry_space_group_name_Hall '-C 2c 2'
loop_
_atom_site_label
_atom_site_type_symbol
_atom_site_fract_x
_atom_site_fract_y
_atom_site_fract_z
Dy1 Dy 0.000 0.000 0.000
Dy2 Dy 0.000 0.258 0.250
Al1 Al 0.000 0.034 0.674
Al2 Al 0.000 0.249 0.592
Al3 Al 0.000 0.282 0.075
Al4 Al 0.000 0.495 0.643
Al5 Al 0.150 0.239 0.750
Al6 Al 0.151 0.500 0.000
Al7 Al 0.216 0.487 0.250
Al8 Al 0.218 0.128 0.131
Al9 Al 0.250 0.250 0.000
Re1 Re 0.248 0.378 0.121
```

No. 4
DFT (GGA-PBEsol) results for a relaxed structure of KLaHf3.

CIF file:
```
data_KLaHf3
_chemical_formula_sum 'K1 La1 Hf3'
_cell_length_a 5.305
_cell_length_b 5.305
_cell_length_c 5.305
_cell_angle_alpha 90.00
_cell_angle_beta 90.00
_cell_angle_gamma 90.00
_symmetry_space_group_name_H-M 'P m -3 m'
_symmetry_Int_Tables_number 221
_symmetry_space_group_name_Hall '-P 4 2 3'
loop_
_atom_site_label
_atom_site_type_symbol
_atom_site_fract_x
_atom_site_fract_y
_atom_site_fract_z
K1 K 0.000 0.000 0.000
La1 La 0.500 0.500 0.500
Hf1 Hf 0.000 0.500 0.500
```

No. 5
DFT (GGA-PBEsol) results for a relaxed structure of CdHg2.

Energy above the lowest structure with this stoichiometry: 0.03 eV per formula unit

CIF file:
```
data_CdHg2
_chemical_formula_sum 'Cd4 Hg8'
_cell_length_a 3.201
_cell_length_b 3.201
_cell_length_c 26.240
_cell_angle_alpha 90.00
_cell_angle_beta 90.00
_cell_angle_gamma 90.00
_symmetry_space_group_name_H-M 'I 41/a m d'
_symmetry_Int_Tables_number 141
loop_
_symmetry_equiv_pos_as_xyz
'x,y,z'
'-x,-y,-z'
'-y+1/4,x+3/4,z+1/4'
'y+1/4,-x+3/4,-z+1/4'
'-x+1/2,-y,z+1/2'
'x+1/2,y,-z+1/2'
'y+1/4,-x+1/4,z+3/4'
'-y+1/4,x+1/4,-z+3/4'
'x,-y,-z'
'-x,y,z'
'-y+1/4,-x+1/4,-z+3/4'
'y+1/4,x+1/4,z+3/4'
'-x+1/2,y,-z+1/2'
'x+1/2,-y,z+1/2'
'y+1/4,x+3/4,-z+1/4'
'-y+1/4,-x+3/4,z+1/4'
'x+1/2,y+1/2,z+1/2'
'-x+1/2,-y+1/2,-z+1/2'
'-y+3/4,x+1/4,z+3/4'
'y+3/4,-x+1/4,-z+3/4'
'-x,-y+1/2,z'
'x,y+1/2,-z'
'y+3/4,-x+3/4,z+1/4'
'-y+3/4,x+3/4,-z+1/4'
'x+1/2,-y+1/2,-z+1/2'
'-x+1/2,y+1/2,z+1/2'
'-y+3/4,-x+3/4,-z+1/4'
'y+3/4,x+3/4,z+1/4'
'-x,y+1/2,-z'
'x,-y+1/2,z'
'y+3/4,x+1/4,-z+3/4'
'-y+3/4,-x+1/4,z+3/4'
loop_
_atom_site_label
_atom_site_type_symbol
_atom_site_fract_x
_atom_site_fract_y
_atom_site_fract_z
Cd1 Cd 0.000 0.250 0.375
Hg1 Hg 0.000 0.250 0.797
```

No. 6
DFT (GGA-PBEsol) results for a relaxed structure of AlTcIr2.

CIF file:
```
data_AlTcIr2
_chemical_formula_sum 'Al3 Tc3 Ir6'
_cell_length_a 2.7402
_cell_length_b 2.7402
_cell_length_c 25.6123
_cell_angle_alpha 90.00
_cell_angle_beta 90.00
_cell_angle_gamma 120.00
_symmetry_space_group_name_H-M 'R -3 m'
_symmetry_Int_Tables_number 166
_symmetry_space_group_name_Hall '-R 3 2"'
loop_
_atom_site_label
_atom_site_type_symbol
_atom_site_fract_x
_atom_site_fract_y
_atom_site_fract_z
Al1 Al 0.0000 0.0000 0.0000
Tc1 Tc 0.0000 0.0000 0.5000
Ir1 Ir 0.0000 0.0000 0.2520
```

No. 7
DFT (GGA-PBEsol) results for a relaxed structure of ZrFeRh.

CIF file:
```
data_ZrFeRh
_chemical_formula_sum 'Zr4 Fe4 Rh4'
_cell_length_a 6.018
_cell_length_b 6.018
_cell_length_c 6.018
_cell_angle_alpha 90.00
_cell_angle_beta 90.00
_cell_angle_gamma 90.00
_symmetry_space_group_name_H-M 'F -4 3 m'
_symmetry_Int_Tables_number 216
_symmetry_space_group_name_Hall 'F -4 2 3'
loop_
_atom_site_label
_atom_site_type_symbol
_atom_site_fract_x
_atom_site_fract_y
_atom_site_fract_z
Zr1 Zr 0.000 0.000 0.000
Fe1 Fe 0.000 0.000 0.500
Rh1 Rh 0.250 0.250 0.750
```

No. 8
DFT (GGA-PBEsol) results for a relaxed structure of MnTeOs.

E_form (uncorrected): 0.674 eV/atom
Energy above the lowest structure with this stoichiometry: 0.30 eV per formula unit

CIF file:
```
data_MnTeOs
_chemical_formula_sum 'Mn1 Te1 Os1'
_cell_length_a 3.0574
_cell_length_b 3.0574
_cell_length_c 6.0846
_cell_angle_alpha 90.00
_cell_angle_beta 90.00
_cell_angle_gamma 120.00
_symmetry_space_group_name_H-M 'P 3 m 1'
_symmetry_Int_Tables_number 156
_symmetry_space_group_name_Hall 'P 3 -2"'
loop_
_atom_site_label
_atom_site_type_symbol
_atom_site_fract_x
_atom_site_fract_y
_atom_site_fract_z
Mn1 Mn 0.0000 0.0000 0.0000
Te1 Te 0.3333 0.6667 0.3427
Os1 Os 0.6667 0.3333 0.7121
```

No. 9
DFT (GGA-PBEsol) results for a relaxed structure of Sc2Tc.

Energy above the lowest structure with this stoichiometry: 0.08 eV per formula unit

CIF file:
```
data_Sc2Tc
_chemical_formula_sum 'Sc8 Tc4'
_cell_length_a 10.734
_cell_length_b 3.207
_cell_length_c 7.283
_cell_angle_alpha 90.00
_cell_angle_beta 113.52
_cell_angle_gamma 90.00
_symmetry_space_group_name_H-M 'C 1 2/m 1'
_symmetry_Int_Tables_number 12
_symmetry_space_group_name_Hall '-C 2y'
loop_
_atom_site_label
_atom_site_type_symbol
_atom_site_fract_x
_atom_site_fract_y
_atom_site_fract_z
Sc1 Sc 0.003 0.000 0.209
Sc2 Sc 0.182 0.500 0.636
Tc1 Tc 0.174 0.500 0.064
```

No. 10
DFT (GGA-PBEsol) results for a relaxed structure of MgRe2Os.

CIF file:
```
data_MgRe2Os
_chemical_formula_sum 'Mg1 Re2 Os1'
_cell_length_a 2.715
_cell_length_b 4.261
_cell_length_c 5.217
_cell_angle_alpha 90.00
_cell_angle_beta 103.95
_cell_angle_gamma 90.00
_symmetry_space_group_name_H-M 'P 1 2/m 1'
_symmetry_Int_Tables_number 10
_symmetry_space_group_name_Hall '-P 2y'
loop_
_atom_site_label
_atom_site_type_symbol
_atom_site_fract_x
_atom_site_fract_y
_atom_site_fract_z
Mg1 Mg 0.000 0.000 0.000
Re1 Re 0.499 0.500 0.754
Os1 Os 0.000 0.000 0.500
```

No. 11
DFT (GGA-PBEsol) results for a relaxed structure of AlCrAs.

Energy above the lowest structure with this stoichiometry: 0.00 eV per formula unit

CIF file:
```
data_AlCrAs
_chemical_formula_sum 'Al2 Cr2 As2'
_cell_length_a 3.147
_cell_length_b 3.147
_cell_length_c 8.070
_cell_angle_alpha 90.00
_cell_angle_beta 90.00
_cell_angle_gamma 90.00
_symmetry_space_group_name_H-M 'I 4 m m'
_symmetry_Int_Tables_number 107
_symmetry_space_group_name_Hall 'I 4 -2'
loop_
_atom_site_label
_atom_site_type_symbol
_atom_site_fract_x
_atom_site_fract_y
_atom_site_fract_z
Al1 Al 0.000 0.000 0.000
Cr1 Cr 0.000 0.000 0.674
As1 As 0.000 0.000 0.318
```

No. 12
DFT (GGA-PBEsol) results for a relaxed structure of Y2CrSb.

E_form (uncorrected): -0.179 eV/atom

CIF file:
```
data_Y2CrSb
_chemical_formula_sum 'Y4 Cr2 Sb2'
_cell_length_a 4.570
_cell_length_b 4.570
_cell_length_c 8.946
_cell_angle_alpha 90.00
_cell_angle_beta 90.00
_cell_angle_gamma 90.00
_symmetry_space_group_name_H-M 'I 4/m m m'
_symmetry_Int_Tables_number 139
_symmetry_space_group_name_Hall '-I 4 2'
loop_
_atom_site_label
_atom_site_type_symbol
_atom_site_fract_x
_atom_site_fract_y
_atom_site_fract_z
Y1 Y 0.000 0.500 0.250
Cr1 Cr 0.000 0.000 0.000
Sb1 Sb 0.000 0.000 0.500
```

No. 13
DFT (GGA-PBEsol) results for a relaxed structure of CsBa3Rh.

CIF file:
```
data_CsBa3Rh
_chemical_formula_sum 'Cs1 Ba3 Rh1'
_cell_length_a 6.212
_cell_length_b 6.212
_cell_length_c 6.212
_cell_angle_alpha 90.00
_cell_angle_beta 90.00
_cell_angle_gamma 90.00
_symmetry_space_group_name_H-M 'P m -3 m'
_symmetry_Int_Tables_number 221
_symmetry_space_group_name_Hall '-P 4 2 3'
loop_
_atom_site_label
_atom_site_type_symbol
_atom_site_fract_x
_atom_site_fract_y
_atom_site_fract_z
Cs1 Cs 0.000 0.000 0.000
Ba1 Ba 0.000 0.500 0.500
Rh1 Rh 0.500 0.500 0.500
```

No. 14
DFT (GGA-PBEsol) results for a relaxed structure of NaFeF3.

E_form (uncorrected): -2.210 eV/atom

CIF file:
```
data_NaFeF3
_chemical_formula_sum 'Na4 Fe4 F12'
_cell_length_a 2.920
_cell_length_b 10.441
_cell_length_c 7.449
_cell_angle_alpha 90.00
_cell_angle_beta 90.00
_cell_angle_gamma 90.00
_symmetry_space_group_name_H-M 'C m c m'
_symmetry_Int_Tables_number 63
_symmetry_space_group_name_Hall '-C 2c 2'
loop_
_atom_site_label
_atom_site_type_symbol
_atom_site_fract_x
_atom_site_fract_y
_atom_site_fract_z
Na1 Na 0.000 0.246 0.250
Fe1 Fe 0.000 0.500 0.000
F1 F 0.000 0.135 0.562
F2 F 0.000 0.424 0.750
```

No. 15
DFT (GGA-PBEsol) results for a relaxed structure of BeFeRe3.

CIF file:
```
data_BeFeRe3
_chemical_formula_sum 'Be1 Fe1 Re3'
_cell_length_a 4.333
_cell_length_b 4.333
_cell_length_c 4.333
_cell_angle_alpha 90.00
_cell_angle_beta 90.00
_cell_angle_gamma 90.00
_symmetry_space_group_name_H-M 'P m -3 m'
_symmetry_Int_Tables_number 221
_symmetry_space_group_name_Hall '-P 4 2 3'
loop_
_atom_site_label
_atom_site_type_symbol
_atom_site_fract_x
_atom_site_fract_y
_atom_site_fract_z
Be1 Be 0.000 0.000 0.000
Fe1 Fe 0.500 0.500 0.500
Re1 Re 0.000 0.500 0.500
```

No. 16
DFT (GGA-PBEsol) results for a relaxed structure of InIrRu2.

CIF file:
```
data_InIrRu2
_chemical_formula_sum 'In1 Ir1 Ru2'
_cell_length_a 2.797
_cell_length_b 2.797
_cell_length_c 7.627
_cell_angle_alpha 90.00
_cell_angle_beta 90.00
_cell_angle_gamma 90.00
_symmetry_space_group_name_H-M 'P 4 m m'
_symmetry_Int_Tables_number 99
_symmetry_space_group_name_Hall 'P 4 -2'
loop_
_atom_site_label
_atom_site_type_symbol
_atom_site_fract_x
_atom_site_fract_y
_atom_site_fract_z
In1 In 0.000 0.000 0.000
Ir1 Ir 0.500 0.500 0.270
Ru1 Ru 0.000 0.000 0.510
Ru2 Ru 0.500 0.500 0.730
```

No. 17
DFT (GGA-PBEsol) results for a relaxed structure of BaLaRh2.

CIF file:
```
data_BaLaRh2
_chemical_formula_sum 'Ba2 La2 Rh4'
_cell_length_a 4.184
_cell_length_b 4.184
_cell_length_c 10.507
_cell_angle_alpha 90.00
_cell_angle_beta 90.00
_cell_angle_gamma 90.00
_symmetry_space_group_name_H-M 'I -4 m 2'
_symmetry_Int_Tables_number 119
_symmetry_space_group_name_Hall 'I -4 -2'
loop_
_atom_site_label
_atom_site_type_symbol
_atom_site_fract_x
_atom_site_fract_y
_atom_site_fract_z
Ba1 Ba 0.000 0.000 0.000
La1 La 0.000 0.500 0.250
Rh1 Rh 0.000 0.000 0.500
Rh2 Rh 0.000 0.500 0.750
```

No. 18
DFT (GGA-PBEsol) results for a relaxed structure of TaReTe2Pb.

E_form (uncorrected): 1.056 eV/atom

CIF file:
```
data_TaReTe2Pb
_chemical_formula_sum 'Ta1 Re1 Te2 Pb1'
_cell_length_a 5.364
_cell_length_b 5.364
_cell_length_c 4.845
_cell_angle_alpha 90.00
_cell_angle_beta 90.00
_cell_angle_gamma 90.00
_symmetry_space_group_name_H-M 'P 4/m m m'
_symmetry_Int_Tables_number 123
_symmetry_space_group_name_Hall '-P 4 2'
loop_
_atom_site_label
_atom_site_type_symbol
_atom_site_fract_x
_atom_site_fract_y
_atom_site_fract_z
Ta1 Ta 0.000 0.000 0.000
Re1 Re 0.000 0.000 0.500
Te1 Te 0.000 0.500 0.000
Pb1 Pb 0.500 0.500 0.500
```

No. 19
DFT (GGA-PBEsol) results for a relaxed structure of Ni3Sn.

CIF file:
```
data_Ni3Sn
_chemical_formula_sum 'Ni6 Sn2'
_cell_length_a 4.205
_cell_length_b 5.253
_cell_length_c 4.485
_cell_angle_alpha 90.00
_cell_angle_beta 90.00
_cell_angle_gamma 90.00
_symmetry_space_group_name_H-M 'P m m n'
_symmetry_Int_Tables_number 59
loop_
_symmetry_equiv_pos_as_xyz
'x,y,z'
'-x,-y,-z'
'-x+1/2,-y+1/2,z'
'x+1/2,y+1/2,-z'
'x+1/2,-y,-z'
'-x+1/2,y,z'
'-x,y+1/2,-z'
'x,-y+1/2,z'
loop_
_atom_site_label
_atom_site_type_symbol
_atom_site_fract_x
_atom_site_fract_y
_atom_site_fract_z
Ni1 Ni 0.250 0.002 0.168
Ni2 Ni 0.250 0.750 0.695
Sn1 Sn 0.250 0.250 0.669
```

No. 20
DFT (GGA-PBEsol) results for a relaxed structure of MnMoPb2.

Energy above the lowest structure with this stoichiometry: 1.67 eV per formula unit

CIF file:
```
data_MnMoPb2
_chemical_formula_sum 'Mn2 Mo2 Pb4'
_cell_length_a 4.417
_cell_length_b 4.417
_cell_length_c 8.034
_cell_angle_alpha 90.00
_cell_angle_beta 90.00
_cell_angle_gamma 90.00
_symmetry_space_group_name_H-M 'I 4/m m m'
_symmetry_Int_Tables_number 139
_symmetry_space_group_name_Hall '-I 4 2'
loop_
_atom_site_label
_atom_site_type_symbol
_atom_site_fract_x
_atom_site_fract_y
_atom_site_fract_z
Mn1 Mn 0.000 0.000 0.000
Mo1 Mo 0.000 0.000 0.500
Pb1 Pb 0.000 0.500 0.250
```

Uncorrected energy / eV/cell: -17.532; -31.929; -616.288; -30.308; -9.319; -109.223; -103.699; -23.480; -99.636; -39.358; -40.091; -58.318; -15.459; -108.788; -43.726; -32.764; -47.481; -31.655; -47.181; -52.715
Magnetization / μB per formula unit: 0.00; 10.92; 0.00; 0.00; 0.00; 0.00; 2.91; 2.60; 0.00; 0.00; 0.00; 3.72; 0.00; 4.00; 0.00; 0.00; 0.00; 1.64; 0.00; 4.71